Entry 1:
VASP calculation (PBE-GGA) on a relaxed structure of Cs2BaNaH.

Cell lengths 6.909, 6.909, 5.626 Å; angles 90.00, 90.00, 90.00 degrees
Space group P4/mmm (No. 123)
One atom of each set of equivalent atoms:
Cs 0.000 0.500 0.000 x2
Ba 0.000 0.000 0.500 x1
Na 0.500 0.500 0.500 x1
H 0.000 0.000 0.000 x1

Crystal system ... tetragonal
DFT total energy ... -1.6469 eV per atom


Entry 2:
VASP calculation (PBE-GGA) on a relaxed structure of CsBa2NaH.

Cell lengths 5.796, 5.796, 7.409 Å; angles 90.00, 90.00, 90.00 degrees
Space group P4/mmm (No. 123)
One atom of each set of equivalent atoms:
Cs 0.000 0.000 0.000 x1
Ba 0.000 0.500 0.500 x2
Na 0.500 0.500 0.000 x1
H 0.500 0.500 0.500 x1

Energy above the most stable polymorph in this dataset ... 59 meV/atom
Crystal system ... tetragonal
DFT total energy ... -1.8288 eV per atom


Entry 3:
VASP calculation (PBE-GGA) on a relaxed structure of Cs2BaNiH6.

Cell lengths 6.3912, 6.3912, 6.6200 Å; angles 90.00, 90.00, 120.00 degrees
Space group P-3m1 (No. 164)
One atom of each set of equivalent atoms:
Cs 0.3333 0.6667 0.3680 x2
Ba 0.0000 0.0000 0.0000 x1
Ni 0.0000 0.0000 0.5000 x1
H 0.1142 0.2284 0.6395 x6

Crystal system ... trigonal
DFT total energy ... -3.1293 eV per atom


Entry 4:
VASP calculation (PBE-GGA) on a relaxed structure of CsBaNiH6.

Cell lengths 9.474, 5.475, 5.645 Å; angles 90.00, 90.11, 90.00 degrees
Space group Cm (No. 8)
One atom of each set of equivalent atoms:
Cs 0.000 0.000 0.000 x2
Ba 0.334 0.000 0.523 x2
Ni 0.167 0.500 0.350 x2
H 0.033 0.500 0.188 x2
H 0.097 0.291 0.502 x4
H 0.234 0.299 0.188 x4
H 0.306 0.500 0.503 x2

Crystal system ... monoclinic
DFT total energy ... -3.4123 eV per atom